1.
Material: BaSbIr2
Method: DFT, PBE
State: relaxed

abc: 6.188 6.188 6.188
angles: 150.85 127.20 61.45
Fractional coordinates of all 4 atoms:
Ba 0.252 0.752 0.500
Ir 0.956 0.956 0.000
Ir 0.752 0.252 0.500
Sb 0.541 0.541 0.000

Calculated values
Total moment, μB per formula unit: 0.00
Energy relative to the elements, uncorrected, kJ/mol of formula units: 94.5
Electronic total energy, eV for the cell shown: -22.8
Space-group type: Imm2 (44)

---

2.
Material: BaSbIr2
Method: DFT, PBE
State: relaxed

abc: 5.095 5.095 3.401
angles: 90.00 90.00 98.70
Fractional coordinates of all 4 atoms:
Ba 0.000 0.500 0.500
Ir 0.000 0.000 0.000
Ir 0.500 0.500 0.000
Sb 0.500 0.000 0.500

Calculated values
Total moment, μB per formula unit: 0.00
Energy relative to the elements, uncorrected, kJ/mol of formula units: 185.3
Electronic total energy, eV for the cell shown: -21.8
Space-group type: Cmmm (65)

---

3.
Material: BaSb2Ir
Method: DFT, PBE
State: relaxed

abc: 5.977 5.977 3.315
angles: 84.43 84.43 115.72
Fractional coordinates of all 4 atoms:
Ba 0.500 0.000 0.500
Ir 0.000 0.500 0.500
Sb 0.000 0.000 0.000
Sb 0.500 0.500 0.000

Calculated values
Total moment, μB per formula unit: 0.00
Energy relative to the elements, uncorrected, kJ/mol of formula units: 121.0
Electronic total energy, eV for the cell shown: -17.8
Space-group type: C2/m (12)

---

4.
Material: BaSbIr2
Method: DFT, PBE
State: relaxed

abc: 3.260 3.336 8.719
angles: 67.34 90.00 90.00
Fractional coordinates of all 4 atoms:
Ba 0.500 0.750 0.750
Ir 0.000 0.937 0.063
Ir 0.000 0.563 0.437
Sb 0.500 0.250 0.250

Calculated values
Total moment, μB per formula unit: 0.00
Energy relative to the elements, uncorrected, kJ/mol of formula units: 81.3
Electronic total energy, eV for the cell shown: -22.9
Space-group type: P2/m (10)

---

Look up the energy relative to the elements, uncorrected of the third one. 121.0 kJ/mol of formula units